1.
## Hf2AlPd3 (PBE-GGA)

Data for a relaxed Hf2AlPd3 crystal.

Unit cell a=4.5576 b=4.5576 c=11.4723 alpha=90.00 beta=90.00 gamma=120.00
With the nearest neighbours (Å) after each atom.
Positions (direct):
Hf 0.0000 0.0000 0.0000  8 Pd 2.90-2.95
Hf 0.0000 0.0000 0.5000  8 Pd 2.78-2.82
Hf 0.3333 0.6667 0.1720  7 Pd 2.73-2.81
Hf 0.6667 0.3333 0.8280  7 Pd 2.73-2.81
Al 0.3333 0.6667 0.6573  8 Pd 2.70-2.81
Al 0.6667 0.3333 0.3427  8 Pd 2.70-2.81
Pd 0.0000 0.0000 0.2573  5 Hf 2.78-2.95, 3 Al 2.81
Pd 0.0000 0.0000 0.7427  5 Hf 2.78-2.95, 3 Al 2.81
Pd 0.3333 0.6667 0.4123  4 Al 2.75-2.81, 4 Hf 2.76-2.82
Pd 0.3333 0.6667 0.8927  1 Al 2.70, 6 Hf 2.73-2.90
Pd 0.6667 0.3333 0.1073  1 Al 2.70, 6 Hf 2.73-2.90
Pd 0.6667 0.3333 0.5877  4 Al 2.75-2.81, 4 Hf 2.76-2.82

D(E_F) ... 7.85 states/eV per cell
Relative energy among the computed polymorphs ... 0 meV per atom
Energy of formation from the pure elements ... -742 meV/atom


2.
## KBa2Cr2N6 (PBE-GGA)

Data for a relaxed KBa2Cr2N6 crystal.

Unit cell a=5.2816 b=7.0109 c=7.4871 alpha=62.16 beta=84.90 gamma=68.32
With the nearest neighbours (Å) after each atom.
Positions (direct):
K 0.0000 0.0000 0.0000  2 N 2.82
Ba 0.2282 0.5978 0.7124  6 N 2.74-2.96
Ba 0.7718 0.4022 0.2876  6 N 2.74-2.96
Cr 0.4284 0.0148 0.3338  4 N 1.68-1.82
Cr 0.5716 0.9852 0.6662  4 N 1.68-1.82
N 0.2525 0.0354 0.5484  2 Cr 1.81-1.82
N 0.2989 0.2694 0.1196  1 Cr 1.69
N 0.4217 0.7871 0.3151  1 Cr 1.68
N 0.5783 0.2129 0.6849  1 Cr 1.68
N 0.7011 0.7306 0.8804  1 Cr 1.69
N 0.7475 0.9646 0.4516  2 Cr 1.81-1.82

D(E_F) ... 3.15 states/eV per cell
Uncorrected formation energy ... -0.432 eV/atom


3.
## CrSiTc2H (PBE-GGA)

Data for a relaxed CrSiTc2H crystal.

Unit cell a=4.1141 b=4.1141 c=3.3083 alpha=90.00 beta=90.00 gamma=90.00
With the nearest neighbours (Å) after each atom.
Positions (direct):
Cr 0.0000 0.0000 0.0000  2 H 1.65
Si 0.5000 0.5000 0.0000  8 Tc 2.64, 4 Cr 2.91
Tc 0.0000 0.5000 0.5000  2 H 2.06
Tc 0.5000 0.0000 0.5000  2 H 2.06
H 0.0000 0.0000 0.5000  2 Cr 1.65

D(E_F) ... 5.40 states/eV per cell
Energy ... -39.4 eV for the cell shown


4.
## SrCa2Au2 (PBE-GGA)

Data for a relaxed SrCa2Au2 crystal.

Unit cell a=8.2288 b=8.2288 c=4.3074 alpha=90.00 beta=90.00 gamma=90.00
With the nearest neighbours (Å) after each atom.
Positions (direct):
Sr 0.0000 0.0000 0.0000  4 Au 3.21
Sr 0.5000 0.5000 0.0000  4 Au 3.21
Ca 0.1565 0.3435 0.5000  6 Au 3.21-3.27
Ca 0.3435 0.8435 0.5000  6 Au 3.21-3.27
Ca 0.6565 0.1565 0.5000  6 Au 3.21-3.27
Ca 0.8435 0.6565 0.5000  6 Au 3.21-3.27
Au 0.1326 0.6326 0.0000  1 Au 3.09, 2 Sr 3.21, 6 Ca 3.21-3.27
Au 0.3674 0.1326 0.0000  1 Au 3.09, 2 Sr 3.21, 6 Ca 3.21-3.27
Au 0.6326 0.8674 0.0000  1 Au 3.09, 2 Sr 3.21, 6 Ca 3.21-3.27
Au 0.8674 0.3674 0.0000  1 Au 3.09, 2 Sr 3.21, 6 Ca 3.21-3.27

D(E_F) ... 10.38 states/eV per cell
Relative energy among the computed polymorphs ... 0 meV per atom
Energy of formation from the pure elements ... -663 meV/atom


5.
## VPb3S (PBE-GGA)

Data for a relaxed VPb3S crystal.

Unit cell a=5.4765 b=5.4765 c=5.4765 alpha=90.00 beta=90.00 gamma=90.00
With the nearest neighbours (Å) after each atom.
Positions (direct):
V 0.0000 0.0000 0.0000  12 Pb 3.87
Pb 0.0000 0.5000 0.5000  2 S 2.74
Pb 0.5000 0.0000 0.5000  2 S 2.74
Pb 0.5000 0.5000 0.0000  2 S 2.74
S 0.5000 0.5000 0.5000  6 Pb 2.74

D(E_F) ... 9.17 states/eV per cell
Relative energy among the computed polymorphs ... 249 meV per atom
Uncorrected formation energy ... 0.703 eV/atom


6.
## CsLaCu2Sb (PBE-GGA)

Data for a relaxed CsLaCu2Sb crystal.

Unit cell a=5.1535 b=5.1535 c=6.1095 alpha=90.00 beta=90.00 gamma=90.00
With the nearest neighbours (Å) after each atom.
Positions (direct):
Cs 0.0000 0.0000 0.0000  4 La 3.64, 8 Cu 4.00
La 0.5000 0.5000 0.0000  2 Sb 3.05
Cu 0.0000 0.5000 0.5000  2 Sb 2.58
Cu 0.5000 0.0000 0.5000  2 Sb 2.58
Sb 0.5000 0.5000 0.5000  4 Cu 2.58

D(E_F) ... 5.91 states/eV per cell
Uncorrected formation energy ... 0.349 eV/atom


7.
## Ac5PrDy4 (PBE-GGA)

Data for a relaxed Ac5PrDy4 crystal.

Unit cell a=10.0290 b=10.0290 c=7.4824 alpha=104.09 beta=104.09 gamma=31.62
With the nearest neighbours (Å) after each atom.
Positions (direct):
Ac 0.0000 0.0000 0.0000  6 Dy 3.73-3.76, 2 Pr 3.74, 4 Ac 3.86
Ac 0.2010 0.2010 0.6024  7 Dy 3.71-3.75, 1 Pr 3.76, 4 Ac 3.85-3.86
Ac 0.3985 0.3985 0.1949  6 Dy 3.72-3.78, 2 Pr 3.77, 4 Ac 3.86
Ac 0.6015 0.6015 0.8051  6 Dy 3.72-3.78, 2 Pr 3.77, 4 Ac 3.86
Ac 0.7990 0.7990 0.3976  7 Dy 3.71-3.75, 1 Pr 3.76, 4 Ac 3.85-3.86
Pr 0.0000 0.0000 0.5000  8 Ac 3.74-3.77, 4 Dy 3.86
Dy 0.1993 0.1993 0.1013  8 Ac 3.72-3.74, 4 Dy 3.85-3.88
Dy 0.3995 0.3995 0.6980  8 Ac 3.71-3.78, 2 Dy 3.85, 2 Pr 3.86
Dy 0.6005 0.6005 0.3020  8 Ac 3.71-3.78, 2 Dy 3.85, 2 Pr 3.86
Dy 0.8007 0.8007 0.8987  8 Ac 3.72-3.74, 4 Dy 3.85-3.88

D(E_F) ... 14.22 states/eV per cell
Energy of formation from the pure elements ... 45 meV/atom


8.
## HPd3Pt (PBE-GGA)

Data for a relaxed HPd3Pt crystal.

Unit cell a=4.9446 b=4.9446 c=4.9446 alpha=90.00 beta=90.00 gamma=90.00
With the nearest neighbours (Å) after each atom.
Positions (direct):
H 0.0000 0.0000 0.0000  12 Pd 3.50
Pd 0.0000 0.5000 0.5000  2 Pt 2.47
Pd 0.5000 0.0000 0.5000  2 Pt 2.47
Pd 0.5000 0.5000 0.0000  2 Pt 2.47
Pt 0.5000 0.5000 0.5000  6 Pd 2.47

D(E_F) ... 7.64 states/eV per cell
Relative energy among the computed polymorphs ... 1501 meV per atom


9.
## BaNa2ReO5 (PBE-GGA)

Data for a relaxed BaNa2ReO5 crystal.

Unit cell a=6.6762 b=6.6762 c=6.6762 alpha=146.07 beta=127.47 gamma=64.02
With the nearest neighbours (Å) after each atom.
Positions (direct):
Ba 0.0000 0.0000 0.0000  10 O 2.86-2.95
Na 0.2777 0.7777 0.5000  7 O 2.38-2.65
Na 0.7223 0.2223 0.5000  7 O 2.38-2.65
Re 0.5000 0.5000 0.0000  6 O 1.93-1.95
O 0.1474 0.3796 0.7678  1 Re 1.93
O 0.3882 0.6204 0.7678  1 Re 1.93
O 0.5000 0.0000 0.5000  2 Re 1.95
O 0.6118 0.3796 0.2322  1 Re 1.93
O 0.8526 0.6204 0.2322  1 Re 1.93

D(E_F) ... 1.18 states/eV per cell
Uncorrected formation energy ... -1.936 eV/atom


10.
## ZrSbPAu2 (PBE-GGA)

Data for a relaxed ZrSbPAu2 crystal.

Unit cell a=4.6279 b=4.6279 c=5.4067 alpha=90.00 beta=90.00 gamma=90.00
With the nearest neighbours (Å) after each atom.
Positions (direct):
Zr 0.0000 0.0000 0.0000  4 Sb 3.27, 8 Au 3.56
Sb 0.5000 0.5000 0.0000  2 P 2.70
P 0.5000 0.5000 0.5000  4 Au 2.31
Au 0.0000 0.5000 0.5000  2 P 2.31
Au 0.5000 0.0000 0.5000  2 P 2.31

D(E_F) ... 3.48 states/eV per cell
Uncorrected formation energy ... 0.320 eV/atom


11.
## K2TlTe6 (PBE-GGA)

Data for a relaxed K2TlTe6 crystal.

Unit cell a=9.7832 b=9.7832 c=9.7832 alpha=155.22 beta=115.53 gamma=70.19
With the nearest neighbours (Å) after each atom.
Positions (direct):
K 0.1331 0.1331 0.0000  10 Te 3.67-3.78
K 0.8669 0.8669 0.0000  10 Te 3.67-3.78
Tl 0.5000 0.0000 0.5000  4 Te 3.59
Te 0.0983 0.3195 0.7788  3 Te 2.95-3.12
Te 0.2209 0.5000 0.7209  2 Te 2.95
Te 0.4593 0.6805 0.7788  3 Te 2.95-3.12
Te 0.5407 0.3195 0.2212  3 Te 2.95-3.12
Te 0.7791 0.5000 0.2791  2 Te 2.95
Te 0.9017 0.6805 0.2212  3 Te 2.95-3.12

D(E_F) ... 3.29 states/eV per cell
Uncorrected formation energy ... -0.358 eV/atom


12.
## Th4AsIrSe2 (PBE-GGA)

Data for a relaxed Th4AsIrSe2 crystal.

Unit cell a=7.4109 b=4.1218 c=7.4690 alpha=90.00 beta=108.72 gamma=90.00
With the nearest neighbours (Å) after each atom.
Positions (direct):
Th 0.2254 0.0000 0.2292  2 Ir 2.85, 1 As 3.01, 3 Se 3.05-3.14
Th 0.2394 0.5000 0.7522  1 Ir 2.95, 2 As 2.97, 3 Se 3.02-3.10
Th 0.7606 0.5000 0.2478  1 Ir 2.95, 2 As 2.97, 3 Se 3.02-3.10
Th 0.7746 0.0000 0.7708  2 Ir 2.85, 1 As 3.01, 3 Se 3.05-3.14
As 0.0000 0.0000 0.5000  6 Th 2.97-3.01
Ir 0.0000 0.5000 0.0000  6 Th 2.85-2.95
Se 0.5000 0.0000 0.0000  6 Th 3.02-3.05
Se 0.5000 0.5000 0.5000  6 Th 3.10-3.14

D(E_F) ... 4.99 states/eV per cell
Uncorrected formation energy ... -1.389 eV/atom


no.,size of the total moment (μB/cell)
1,0.0
2,1.1
3,1.5
4,0.0
5,4.0
6,0.0
7,0.0
8,1.2
9,1.0
10,0.2
11,0.0
12,0.0